A plane-wave DFT calculation with PBE was carried out for a relaxed structure of YCoBiH2.

Cell lengths 4.094, 5.078, 4.094 Å; angles 90.00, 90.00, 90.00 degrees
Element x y z (fractional)
Co1 0.000 0.500 0.000
Bi1 0.000 0.000 0.000
Y1 0.500 0.500 0.500
H1 0.000 0.000 0.500
H2 0.500 0.000 0.000

The crystal system is tetragonal. For the calculated total energy, the calculation gives -4.43 eV per atom. For the energy above the most stable polymorph in this dataset, the calculation gives 73 meV/atom.

---

A plane-wave DFT calculation with PBE was carried out for a relaxed structure of YCoBiH2.

Cell lengths 4.135, 5.050, 4.135 Å; angles 90.00, 90.00, 90.00 degrees
Site moments in Bohr magnetons follow the coordinates.
Element x y z (fractional)
Bi1 0.000 0.500 0.000  0.01
H1 0.000 0.000 0.500  -0.02
H2 0.500 0.000 0.000  -0.01
Y1 0.500 0.500 0.500  0.03
Co1 0.000 0.000 0.000  0.74

The crystal system is tetragonal. For the calculated total energy, the calculation gives -4.50 eV per atom. For the energy above the most stable polymorph in this dataset, the calculation gives 0 meV/atom.

---

A plane-wave DFT calculation with PBE was carried out for a relaxed structure of ZrCo2BiH.

Cell lengths 4.611, 5.806, 4.611 Å; angles 90.00, 90.00, 90.00 degrees
Site moments in Bohr magnetons follow the coordinates.
Element x y z (fractional)
Zr1 0.000 0.000 0.000  -0.13
Co1 0.000 0.000 0.500  1.07
Co2 0.500 0.000 0.000  0.91
Bi1 0.000 0.500 0.000  -0.05
H1 0.500 0.500 0.500  0.26

The crystal system is tetragonal. For the calculated total energy, the calculation gives -4.33 eV per atom.

---

A plane-wave DFT calculation with PBE was carried out for a relaxed structure of HfCo2Bi2.

Cell lengths 6.999, 6.999, 3.895 Å; angles 90.00, 90.00, 90.00 degrees
Site moments in Bohr magnetons follow the coordinates.
Element x y z (fractional)
Bi1 0.678 0.822 0.500  0.00
Bi2 0.322 0.178 0.500  0.00
Bi3 0.822 0.322 0.500  0.00
Bi4 0.178 0.678 0.500  0.00
Hf1 0.000 0.000 0.000  -0.10
Hf2 0.500 0.500 0.000  -0.10
Co1 0.379 0.879 0.000  0.84
Co2 0.879 0.621 0.000  0.85
Co3 0.121 0.379 0.000  0.86
Co4 0.621 0.121 0.000  0.84

Its energy of formation from the pure elements is 0.96 eV per formula unit. The crystal system is tetragonal. For the calculated total energy, the calculation gives -6.19 eV per atom. For the energy above the most stable polymorph in this dataset, the calculation gives 0 meV/atom.

---

A plane-wave DFT calculation with PBE was carried out for a relaxed structure of Hf4Co2Bi.

Cell lengths 7.427, 7.427, 7.437 Å; angles 109.61, 109.60, 109.15 degrees
Element x y z (fractional)
Hf1 0.432 0.108 0.325
Hf2 0.892 0.568 0.675
Hf3 0.893 0.217 0.325
Hf4 0.783 0.107 0.675
Hf5 0.467 0.643 0.825
Hf6 0.358 0.182 0.825
Hf7 0.818 0.642 0.175
Hf8 0.357 0.533 0.175
Co1 0.125 0.375 0.750
Co2 0.625 0.375 0.250
Co3 0.625 0.875 0.250
Co4 0.625 0.375 0.750
Bi1 0.000 0.000 0.000
Bi2 0.250 0.750 0.500

Its energy of formation from the pure elements is 0.16 eV per formula unit. The crystal system is orthorhombic. For the calculated total energy, the calculation gives -8.25 eV per atom.

---

A plane-wave DFT calculation with PBE was carried out for a relaxed structure of HfCo2Bi2.

Cell lengths 7.815, 7.815, 3.165 Å; angles 90.00, 90.00, 90.00 degrees
Site moments in Bohr magnetons follow the coordinates.
Element x y z (fractional)
Bi1 0.847 0.653 0.000  -0.01
Bi2 0.347 0.847 0.000  -0.01
Bi3 0.153 0.347 0.000  -0.01
Bi4 0.653 0.153 0.000  -0.01
Hf1 0.500 0.500 0.000  -0.01
Hf2 0.000 0.000 0.000  -0.01
Co1 0.358 0.142 0.500  0.88
Co2 0.858 0.358 0.500  0.92
Co3 0.642 0.858 0.500  0.88
Co4 0.142 0.642 0.500  0.92

Its energy of formation from the pure elements is 2.10 eV per formula unit. The crystal system is tetragonal. For the calculated total energy, the calculation gives -5.96 eV per atom. For the energy above the most stable polymorph in this dataset, the calculation gives 228 meV/atom.

---

A plane-wave DFT calculation with PBE was carried out for a relaxed structure of Hf6CoBi3.

Cell lengths 6.773, 7.729, 9.273 Å; angles 90.00, 85.88, 90.00 degrees
Element x y z (fractional)
Bi1 0.500 0.500 0.000
Bi2 0.428 0.114 0.275
Bi3 0.572 0.886 0.725
Bi4 0.072 0.614 0.225
Bi5 0.928 0.386 0.775
Bi6 0.000 0.000 0.500
Hf1 0.170 0.366 0.460
Hf2 0.305 0.566 0.730
Hf3 0.195 0.066 0.770
Hf4 0.345 0.767 0.441
Hf5 0.830 0.634 0.540
Hf6 0.845 0.733 0.941
Hf7 0.805 0.934 0.230
Hf8 0.155 0.267 0.059
Hf9 0.670 0.134 0.960
Hf10 0.655 0.233 0.559
Hf11 0.695 0.434 0.270
Hf12 0.330 0.866 0.040
Co1 0.500 0.500 0.500
Co2 0.000 0.000 0.000

Its energy of formation from the pure elements is 0.23 eV per formula unit. The crystal system is monoclinic. For the calculated total energy, the calculation gives -7.82 eV per atom. For the energy above the most stable polymorph in this dataset, the calculation gives 72 meV/atom.

---

A plane-wave DFT calculation with PBE was carried out for a relaxed structure of Hf2Co2Bi.

Cell lengths 7.318, 7.318, 3.281 Å; angles 90.00, 90.00, 90.00 degrees
Element x y z (fractional)
Co1 0.127 0.373 0.000
Co2 0.873 0.627 0.000
Co3 0.373 0.873 0.000
Co4 0.627 0.127 0.000
Bi1 0.000 0.000 0.000
Bi2 0.500 0.500 0.000
Hf1 0.343 0.157 0.500
Hf2 0.843 0.343 0.500
Hf3 0.657 0.843 0.500
Hf4 0.157 0.657 0.500

Its energy of formation from the pure elements is -1.25 eV per formula unit. The crystal system is tetragonal. For the calculated total energy, the calculation gives -7.85 eV per atom. For the energy above the most stable polymorph in this dataset, the calculation gives 0 meV/atom.

---

A plane-wave DFT calculation with PBE was carried out for a relaxed structure of Hf2CoBi.

Cell lengths 3.587, 3.587, 8.080 Å; angles 77.18, 77.18, 60.00 degrees
Element x y z (fractional)
Hf1 0.274 0.274 0.179
Hf2 0.726 0.726 0.821
Co1 0.000 0.000 0.000
Bi1 0.500 0.500 0.500

Its energy of formation from the pure elements is -0.53 eV per formula unit. The crystal system is trigonal. For the calculated total energy, the calculation gives -7.86 eV per atom.

---

A plane-wave DFT calculation with PBE was carried out for a relaxed structure of Hf12Co6Bi.

Cell lengths 7.769, 7.769, 7.769 Å; angles 109.47, 109.47, 109.47 degrees
Element x y z (fractional)
Hf1 0.491 0.188 0.303
Hf2 0.115 0.812 0.303
Hf3 0.188 0.697 0.885
Hf4 0.697 0.885 0.188
Hf5 0.812 0.303 0.115
Hf6 0.885 0.188 0.697
Hf7 0.303 0.115 0.812
Hf8 0.303 0.491 0.188
Hf9 0.812 0.697 0.509
Hf10 0.188 0.303 0.491
Hf11 0.697 0.509 0.812
Hf12 0.509 0.812 0.697
Co1 0.500 0.864 0.364
Co2 0.864 0.364 0.500
Co3 0.500 0.136 0.636
Co4 0.636 0.500 0.136
Co5 0.136 0.636 0.500
Co6 0.364 0.500 0.864
Bi1 0.000 0.000 0.000

Its energy of formation from the pure elements is -4.38 eV per formula unit. The crystal system is cubic. For the calculated total energy, the calculation gives -8.97 eV per atom.

---

A plane-wave DFT calculation with PBE was carried out for a relaxed structure of Hf4Co2Bi5.

Cell lengths 3.358, 8.689, 11.596 Å; angles 112.84, 90.00, 90.00 degrees
Element x y z (fractional)
Hf1 0.500 0.150 0.453
Hf2 0.500 0.742 0.219
Hf3 0.500 0.850 0.547
Hf4 0.500 0.258 0.781
Bi1 0.000 0.544 0.356
Bi2 0.000 0.961 0.801
Bi3 0.000 0.456 0.644
Bi4 0.000 0.039 0.199
Bi5 0.000 0.500 0.000
Co1 0.000 0.104 0.613
Co2 0.000 0.896 0.387

Its energy of formation from the pure elements is -2.09 eV per formula unit. The crystal system is monoclinic. For the calculated total energy, the calculation gives -6.87 eV per atom.

---

A plane-wave DFT calculation with PBE was carried out for a relaxed structure of Hf6CoBi2.

Cell lengths 5.841, 7.105, 9.691 Å; angles 90.00, 90.56, 90.00 degrees
Element x y z (fractional)
Hf1 0.143 0.287 0.028
Hf2 0.366 0.531 0.752
Hf3 0.634 0.469 0.248
Hf4 0.643 0.213 0.528
Hf5 0.148 0.327 0.480
Hf6 0.852 0.673 0.520
Hf7 0.857 0.713 0.972
Hf8 0.352 0.827 0.020
Hf9 0.648 0.173 0.980
Hf10 0.866 0.969 0.252
Hf11 0.134 0.031 0.748
Hf12 0.357 0.787 0.472
Bi1 0.116 0.594 0.239
Bi2 0.884 0.406 0.761
Bi3 0.616 0.906 0.739
Bi4 0.384 0.094 0.261
Co1 0.500 0.500 0.000
Co2 0.000 0.000 0.500

Its energy of formation from the pure elements is -0.44 eV per formula unit. The crystal system is monoclinic. For the calculated total energy, the calculation gives -8.34 eV per atom. For the energy above the most stable polymorph in this dataset, the calculation gives 208 meV/atom.